Entry 1:
A plane-wave DFT calculation with GGA-PBE was carried out for a relaxed structure of BaBW2.

Output
Fermi-level density of states = 0.83 states/eV/atom
formation enthalpy at 0 K = 1275 meV per atom

a b c (Å): 6.5386 6.5386 9.2337
angles (deg): 90.00 90.00 90.00
Space group I4_1/amd (No. 141, origin choice 2)
Unique sites:
Ba: 0.0000 0.2500 0.3750 (multiplicity 4)
B: 0.0000 0.2500 0.8750 (multiplicity 4)
W: 0.0000 0.0000 0.0000 (multiplicity 8)


Entry 2:
A plane-wave DFT calculation with GGA-PBE was carried out for a relaxed structure of Tl2Si2Rh.

Output
Fermi-level density of states = 0.72 states/eV/atom
formation energy from raw total energies = 0.35 eV per atom

a b c (Å): 3.3978 3.3978 17.6598
angles (deg): 90.00 90.00 90.00
Space group I4/mmm (No. 139)
Unique sites:
Tl: 0.0000 0.0000 0.0945 (multiplicity 4)
Si: 0.0000 0.5000 0.2500 (multiplicity 4)
Rh: 0.0000 0.0000 0.5000 (multiplicity 2)


Entry 3:
A plane-wave DFT calculation with GGA-PBE was carried out for a relaxed structure of Hf6Fe2Os.

Output
Fermi-level density of states = 0.93 states/eV/atom
formation enthalpy at 0 K = -279 meV per atom

a b c (Å): 8.6525 8.7447 8.8382
angles (deg): 90.00 90.00 90.00
Space group Immm (No. 71)
Unique sites:
Hf: 0.0000 0.1995 0.1740 (multiplicity 8)
Hf: 0.1848 0.2307 0.5000 (multiplicity 8)
Hf: 0.1928 0.5000 0.2516 (multiplicity 8)
Fe: 0.0000 0.0000 0.3829 (multiplicity 4)
Fe: 0.1540 0.0000 0.0000 (multiplicity 4)
Os: 0.0000 0.5000 0.0000 (multiplicity 2)
Os: 0.0000 0.5000 0.5000 (multiplicity 2)


Entry 4:
A plane-wave DFT calculation with GGA-PBE was carried out for a relaxed structure of La2Cd2Pt15.

Output
Fermi-level density of states = 0.77 states/eV/atom
formation enthalpy at 0 K = -526 meV per atom

a b c (Å): 9.4077 9.4077 13.5577
angles (deg): 90.00 90.00 120.00
Space group R-3m (No. 166, hexagonal axes)
Unique sites:
La: 0.0000 0.0000 0.1506 (multiplicity 6)
Cd: 0.0000 0.0000 0.3998 (multiplicity 6)
Pt: 0.0000 0.3144 0.5000 (multiplicity 18)
Pt: 0.0000 0.5000 0.0000 (multiplicity 9)
Pt: 0.0033 0.5017 0.6580 (multiplicity 18)


Q: Which formula does entry 1 have?
A: BaBW2


What did the third record say?
A plane-wave DFT calculation with GGA-PBE was carried out for a relaxed structure of Hf6Fe2Os.

Output
Fermi-level density of states = 0.93 states/eV/atom
formation enthalpy at 0 K = -279 meV per atom

a b c (Å): 8.6525 8.7447 8.8382
angles (deg): 90.00 90.00 90.00
Space group Immm (No. 71)
Unique sites:
Hf: 0.0000 0.1995 0.1740 (multiplicity 8)
Hf: 0.1848 0.2307 0.5000 (multiplicity 8)
Hf: 0.1928 0.5000 0.2516 (multiplicity 8)
Fe: 0.0000 0.0000 0.3829 (multiplicity 4)
Fe: 0.1540 0.0000 0.0000 (multiplicity 4)
Os: 0.0000 0.5000 0.0000 (multiplicity 2)
Os: 0.0000 0.5000 0.5000 (multiplicity 2)


Q: The lowest Fermi-level density of states belongs to which entry?
A: Tl2Si2Rh


Q: What is the formula in the third record?
A: Hf6Fe2Os